Ho4PPbSe2 (PBE, optimized geometry); E_form (uncorrected) = -1.39 eV/atom; N(E_F) = 0.275 states/eV per atom
1.0
7.175 0.000 0.000
0.000 4.123 0.000
-2.394 0.000 6.824
Ho P Pb Se
4 1 1 2
direct
0.238 0.000 0.233 Ho
0.250 0.500 0.765 Ho
0.750 0.500 0.235 Ho
0.762 0.000 0.767 Ho
0.000 0.500 0.000 P
0.000 0.000 0.500 Pb
0.500 0.000 0.000 Se
0.500 0.500 0.500 Se

RbBa2Ru (PBE, optimized geometry); N(E_F) = 1.012 states/eV per atom; formation energy from the elements = 0.681 eV per atom
1.0
0.000 4.124 4.124
4.124 0.000 4.124
4.124 4.124 0.000
Rb Ba Ru
1 2 1
direct
0.000 0.000 0.000 Rb
0.250 0.250 0.250 Ba
0.750 0.750 0.750 Ba
0.500 0.500 0.500 Ru